Record 1
# PBE-GGA BMoCl3, relaxed
# **Energy above the lowest structure with this stoichiometry**: 0.00 eV per formula unit
# **D(E_F)**: 4.475 states/eV/f.u.
data_BMoCl3
_chemical_formula_sum 'B1 Mo1 Cl3'
_cell_length_a 4.9981
_cell_length_b 4.9981
_cell_length_c 4.9981
_cell_angle_alpha 90.00
_cell_angle_beta 90.00
_cell_angle_gamma 90.00
_space_group_name_H-M_alt 'P m -3 m'
_space_group_IT_number 221
_space_group_name_Hall '-P 4 2 3'
loop_
_atom_site_label
_atom_site_fract_x
_atom_site_fract_y
_atom_site_fract_z
B1 0.0000 0.0000 0.0000
Mo1 0.5000 0.5000 0.5000
Cl1 0.0000 0.5000 0.5000


Record 2
# PBE-GGA BMo2Cl, relaxed
# **Energy above the lowest structure with this stoichiometry**: 0.43 eV per formula unit
# **D(E_F)**: 1.629 states/eV/f.u.
data_BMo2Cl
_chemical_formula_sum 'B4 Mo8 Cl4'
_cell_length_a 5.3385
_cell_length_b 5.3385
_cell_length_c 9.5542
_cell_angle_alpha 90.00
_cell_angle_beta 90.00
_cell_angle_gamma 90.00
_space_group_name_H-M_alt 'I -4 2 d'
_space_group_IT_number 122
_space_group_name_Hall 'I -4 2bw'
loop_
_atom_site_label
_atom_site_fract_x
_atom_site_fract_y
_atom_site_fract_z
B1 0.0000 0.0000 0.0000
Mo1 0.1951 0.2500 0.1250
Cl1 0.0000 0.0000 0.5000


Record 3
# PBE-GGA B2MoCl2, relaxed
# **Energy above the lowest structure with this stoichiometry**: 0.23 eV per formula unit
# **D(E_F)**: 3.582 states/eV/f.u.
data_B2MoCl2
_chemical_formula_sum 'B4 Mo2 Cl4'
_cell_length_a 4.7471
_cell_length_b 4.7471
_cell_length_c 6.0715
_cell_angle_alpha 90.00
_cell_angle_beta 90.00
_cell_angle_gamma 90.00
_space_group_name_H-M_alt 'I 4/m m m'
_space_group_IT_number 139
_space_group_name_Hall '-I 4 2'
loop_
_atom_site_label
_atom_site_fract_x
_atom_site_fract_y
_atom_site_fract_z
B1 0.0000 0.0000 0.1328
Mo1 0.0000 0.0000 0.5000
Cl1 0.0000 0.5000 0.2500


Record 4
# PBE-GGA B3MoCl, relaxed
# **Energy above the lowest structure with this stoichiometry**: 2.60 eV per formula unit
# **D(E_F)**: 3.016 states/eV/f.u.
data_B3MoCl
_chemical_formula_sum 'B3 Mo1 Cl1'
_cell_length_a 3.8130
_cell_length_b 3.8130
_cell_length_c 3.8130
_cell_angle_alpha 90.00
_cell_angle_beta 90.00
_cell_angle_gamma 90.00
_space_group_name_H-M_alt 'P m -3 m'
_space_group_IT_number 221
_space_group_name_Hall '-P 4 2 3'
loop_
_atom_site_label
_atom_site_fract_x
_atom_site_fract_y
_atom_site_fract_z
B1 0.0000 0.0000 0.5000
Mo1 0.5000 0.5000 0.5000
Cl1 0.0000 0.0000 0.0000


Record 5
# PBE-GGA BMoCl2, relaxed
# **Energy above the lowest structure with this stoichiometry**: 2.04 eV per formula unit
# **D(E_F)**: 3.935 states/eV/f.u.
data_BMoCl2
_chemical_formula_sum 'B4 Mo4 Cl8'
_cell_length_a 5.9881
_cell_length_b 5.9881
_cell_length_c 9.7678
_cell_angle_alpha 90.00
_cell_angle_beta 90.00
_cell_angle_gamma 90.00
_space_group_name_H-M_alt 'I -4 2 d'
_space_group_IT_number 122
_space_group_name_Hall 'I -4 2bw'
loop_
_atom_site_label
_atom_site_fract_x
_atom_site_fract_y
_atom_site_fract_z
B1 0.0000 0.0000 0.0000
Mo1 0.0000 0.0000 0.5000
Cl1 0.2171 0.2500 0.6250


Record 6
# PBE-GGA B2MoCl2, relaxed
# **Energy above the lowest structure with this stoichiometry**: 0.00 eV per formula unit
# **D(E_F)**: 2.254 states/eV/f.u.
data_B2MoCl2
_chemical_formula_sum 'B2 Mo1 Cl2'
_cell_length_a 4.4087
_cell_length_b 4.4087
_cell_length_c 4.3784
_cell_angle_alpha 90.00
_cell_angle_beta 90.00
_cell_angle_gamma 90.00
_space_group_name_H-M_alt 'P 4/m m m'
_space_group_IT_number 123
_space_group_name_Hall '-P 4 2'
loop_
_atom_site_label
_atom_site_fract_x
_atom_site_fract_y
_atom_site_fract_z
B1 0.0000 0.5000 0.0000
Mo1 0.0000 0.0000 0.0000
Cl1 0.0000 0.5000 0.5000


Record 7
# PBE-GGA B2MoCl, relaxed
# **Energy above the lowest structure with this stoichiometry**: 2.32 eV per formula unit
# **D(E_F)**: 2.266 states/eV/f.u.
data_B2MoCl
_chemical_formula_sum 'B8 Mo4 Cl4'
_cell_length_a 5.7012
_cell_length_b 5.7012
_cell_length_c 5.7012
_cell_angle_alpha 90.00
_cell_angle_beta 90.00
_cell_angle_gamma 90.00
_space_group_name_H-M_alt 'F m -3 m'
_space_group_IT_number 225
_space_group_name_Hall '-F 4 2 3'
loop_
_atom_site_label
_atom_site_fract_x
_atom_site_fract_y
_atom_site_fract_z
B1 0.2500 0.2500 0.2500
Mo1 0.0000 0.0000 0.0000
Cl1 0.0000 0.0000 0.5000


Record 8
# PBE-GGA NaB2MoCl, relaxed
# **D(E_F)**: 8.311 states/eV/f.u.
data_NaB2MoCl
_chemical_formula_sum 'Na1 B2 Mo1 Cl1'
_cell_length_a 4.3271
_cell_length_b 4.3271
_cell_length_c 4.4436
_cell_angle_alpha 90.00
_cell_angle_beta 90.00
_cell_angle_gamma 90.00
_space_group_name_H-M_alt 'P 4/m m m'
_space_group_IT_number 123
_space_group_name_Hall '-P 4 2'
loop_
_atom_site_label
_atom_site_fract_x
_atom_site_fract_y
_atom_site_fract_z
Na1 0.0000 0.0000 0.0000
B1 0.0000 0.5000 0.0000
Mo1 0.5000 0.5000 0.5000
Cl1 0.0000 0.0000 0.5000


Record 9
# PBE-GGA BMoPCl2, relaxed
# **Energy above the lowest structure with this stoichiometry**: 0.00 eV per formula unit
# **D(E_F)**: 3.717 states/eV/f.u.
data_BMoPCl2
_chemical_formula_sum 'B1 Mo1 P1 Cl2'
_cell_length_a 4.8628
_cell_length_b 4.8628
_cell_length_c 4.7327
_cell_angle_alpha 90.00
_cell_angle_beta 90.00
_cell_angle_gamma 90.00
_space_group_name_H-M_alt 'P 4/m m m'
_space_group_IT_number 123
_space_group_name_Hall '-P 4 2'
loop_
_atom_site_label
_atom_site_fract_x
_atom_site_fract_y
_atom_site_fract_z
B1 0.0000 0.0000 0.0000
Mo1 0.5000 0.5000 0.5000
P1 0.5000 0.5000 0.0000
Cl1 0.0000 0.5000 0.5000


Record 10
# PBE-GGA BMoPCl2, relaxed
# **Energy above the lowest structure with this stoichiometry**: 0.16 eV per formula unit
# **D(E_F)**: 2.167 states/eV/f.u.
data_BMoPCl2
_chemical_formula_sum 'B1 Mo1 P1 Cl2'
_cell_length_a 4.2270
_cell_length_b 4.2270
_cell_length_c 4.5407
_cell_angle_alpha 90.00
_cell_angle_beta 90.00
_cell_angle_gamma 90.00
_space_group_name_H-M_alt 'P 4/m m m'
_space_group_IT_number 123
_space_group_name_Hall '-P 4 2'
loop_
_atom_site_label
_atom_site_fract_x
_atom_site_fract_y
_atom_site_fract_z
B1 0.0000 0.0000 0.0000
Mo1 0.5000 0.5000 0.5000
P1 0.0000 0.0000 0.5000
Cl1 0.0000 0.5000 0.0000


Record 11
# PBE-GGA Rb2BMoCl6, relaxed
# **D(E_F)**: 0.000 states/eV/f.u.
data_Rb2BMoCl6
_chemical_formula_sum 'Rb8 B4 Mo4 Cl24'
_cell_length_a 10.1788
_cell_length_b 10.1788
_cell_length_c 10.1788
_cell_angle_alpha 90.00
_cell_angle_beta 90.00
_cell_angle_gamma 90.00
_space_group_name_H-M_alt 'F m -3 m'
_space_group_IT_number 225
_space_group_name_Hall '-F 4 2 3'
loop_
_atom_site_label
_atom_site_fract_x
_atom_site_fract_y
_atom_site_fract_z
Rb1 0.2500 0.2500 0.2500
B1 0.0000 0.0000 0.0000
Mo1 0.0000 0.0000 0.5000
Cl1 0.0000 0.0000 0.2570


Record 12
# PBE-GGA BMo2RuCl, relaxed
# **D(E_F)**: 2.996 states/eV/f.u.
data_BMo2RuCl
_chemical_formula_sum 'B1 Mo2 Ru1 Cl1'
_cell_length_a 4.3420
_cell_length_b 4.3420
_cell_length_c 3.9966
_cell_angle_alpha 90.00
_cell_angle_beta 90.00
_cell_angle_gamma 90.00
_space_group_name_H-M_alt 'P 4/m m m'
_space_group_IT_number 123
_space_group_name_Hall '-P 4 2'
loop_
_atom_site_label
_atom_site_fract_x
_atom_site_fract_y
_atom_site_fract_z
B1 0.0000 0.0000 0.0000
Mo1 0.0000 0.5000 0.0000
Ru1 0.0000 0.0000 0.5000
Cl1 0.5000 0.5000 0.5000


Results for uncorrected formation energy: 0.67 0.79 1.20 2.24 1.37 1.15 1.83 2.46 0.97 1.00 -0.84 0.85 (in eV/atom, following the order of the records).